# 1
Below is a relaxed CaCo crystal, with properties calculated at the PBE-GGA level.

a = 8.4587 Å, b = 8.4587 Å, c = 8.4587 Å
α = 90.00°, β = 90.00°, γ = 90.00°
Closest atoms and distances in Å follow each position.
Atoms (fractional coordinates):
Ca 0.2089 0.2089 0.2089  4 Co 2.87-2.91
Ca 0.2089 0.7911 0.7911  4 Co 2.87-2.91
Ca 0.7911 0.2089 0.7911  4 Co 2.87-2.91
Ca 0.7911 0.7911 0.2089  4 Co 2.87-2.91
Ca 0.7089 0.7089 0.7089  4 Co 2.87-2.91
Ca 0.7089 0.2911 0.2911  4 Co 2.87-2.91
Ca 0.2911 0.7089 0.2911  4 Co 2.87-2.91
Ca 0.2911 0.2911 0.7089  4 Co 2.87-2.91
Co 0.4047 0.4047 0.4047  3 Co 2.28
Co 0.4047 0.5953 0.5953  3 Co 2.28
Co 0.5953 0.4047 0.5953  3 Co 2.28
Co 0.5953 0.5953 0.4047  3 Co 2.28
Co 0.9047 0.9047 0.9047  3 Co 2.28
Co 0.9047 0.0953 0.0953  3 Co 2.28
Co 0.0953 0.9047 0.0953  3 Co 2.28
Co 0.0953 0.0953 0.9047  3 Co 2.28

Properties
DFT total energy = -3.84 eV/atom
V = 37.83 A^3/atom
space group = I-43m



# 2
Below is a relaxed BeZnRh4 crystal, with properties calculated at the PBE-GGA level.

a = 5.0579 Å, b = 5.0579 Å, c = 5.0579 Å
α = 60.00°, β = 60.00°, γ = 60.00°
Closest atoms and distances in Å follow each position.
Atoms (fractional coordinates):
Be 0.0000 0.0000 0.0000  12 Rh 2.97, 4 Zn 3.10
Zn 0.7500 0.7500 0.7500  12 Rh 2.97, 4 Be 3.10
Rh 0.8754 0.3749 0.3749  6 Rh 2.53
Rh 0.3749 0.3749 0.8754  6 Rh 2.53
Rh 0.3749 0.8754 0.3749  6 Rh 2.53
Rh 0.3749 0.3749 0.3749  6 Rh 2.53

Properties
DFT total energy = -5.40 eV/atom
V = 15.25 A^3/atom
space group = F-43m